Crystalline NdEuLu2 at its relaxed geometry. Source: Alexandria via LeMat-Bulk, functional GGA-PBE.

abc: 5.125 5.125 4.981
angles: 90.00 90.00 90.00
Space group P4/mmm (No. 123)
Inequivalent atoms, fractional coordinates:
Nd 0.000 0.000 0.000
Eu 0.500 0.500 0.000
Lu 0.000 0.500 0.500

Properties
DOS(E_F)	5.91	states/eV/cell
total DFT energy (no corrections)	-5.9217	eV/atom
relative energy among the computed polymorphs	29	meV/atom
calculated formation energy	99	meV per atom
total magnetic moment	7.07	μB/f.u.

=====

Crystalline PmNdEuLu at its relaxed geometry. Source: Alexandria via LeMat-Bulk, functional GGA-PBE.

abc: 8.210 8.210 8.210
angles: 90.00 90.00 90.00
Space group F-43m (No. 216)
Inequivalent atoms, fractional coordinates:
Pm 0.000 0.000 0.000
Nd 0.250 0.250 0.250
Eu 0.000 0.000 0.500
Lu 0.250 0.250 0.750

Properties
DOS(E_F)	29.47	states/eV/cell
total DFT energy (no corrections)	-5.9206	eV/atom
calculated formation energy	158	meV per atom
total magnetic moment	8.08	μB/f.u.

=====

Crystalline NdEuLuSc at its relaxed geometry. Source: Alexandria via LeMat-Bulk, functional GGA-PBE.

abc: 7.967 7.967 7.967
angles: 90.00 90.00 90.00
Space group F-43m (No. 216)
Inequivalent atoms, fractional coordinates:
Nd 0.000 0.000 0.000
Eu 0.000 0.000 0.500
Lu 0.250 0.250 0.750
Sc 0.250 0.250 0.250

Properties
DOS(E_F)	23.79	states/eV/cell
total DFT energy (no corrections)	-6.3240	eV/atom
calculated formation energy	150	meV per atom
total magnetic moment	6.86	μB/f.u.

=====

Crystalline NdEuLuSn at its relaxed geometry. Source: Alexandria via LeMat-Bulk, functional GGA-PBE.

abc: 7.768 7.768 7.768
angles: 90.00 90.00 90.00
Space group F-43m (No. 216)
Inequivalent atoms, fractional coordinates:
Nd 0.000 0.000 0.000
Eu 0.250 0.250 0.250
Lu 0.000 0.000 0.500
Sn 0.250 0.250 0.750

Properties
DOS(E_F)	19.73	states/eV/cell
total DFT energy (no corrections)	-6.1101	eV/atom
calculated formation energy	-219	meV per atom
total magnetic moment	7.86	μB/f.u.

=====

Crystalline Eu2LuNi at its relaxed geometry. Source: Alexandria via LeMat-Bulk, functional GGA-PBE.

abc: 3.6427 3.6427 31.6154
angles: 90.00 90.00 120.00
Space group R-3m (No. 166, hexagonal axes)
Inequivalent atoms, fractional coordinates:
Eu 0.0000 0.0000 0.1081
Lu 0.0000 0.0000 0.0000
Ni 0.0000 0.0000 0.5000

Properties
DOS(E_F)	30.17	states/eV/cell
total DFT energy (no corrections)	-7.4615	eV/atom
calculated formation energy	251	meV per atom
total magnetic moment	14.62	μB/f.u.

=====

Crystalline EuLuNi2 at its relaxed geometry. Source: Alexandria via LeMat-Bulk, functional GGA-PBE.

abc: 6.771 6.771 6.771
angles: 90.00 90.00 90.00
Space group Fm-3m (No. 225)
Inequivalent atoms, fractional coordinates:
Eu 0.000 0.000 0.000
Lu 0.000 0.000 0.500
Ni 0.250 0.250 0.250

Properties
DOS(E_F)	33.17	states/eV/cell
total DFT energy (no corrections)	-6.7952	eV/atom
relative energy among the computed polymorphs	74	meV/atom
calculated formation energy	-206	meV per atom
total magnetic moment	7.04	μB/f.u.

=====

Crystalline EuLuNi2 at its relaxed geometry. Source: Alexandria via LeMat-Bulk, functional GGA-PBE.

abc: 3.373 3.373 6.893
angles: 90.00 90.00 90.00
Space group P4/mmm (No. 123)
Inequivalent atoms, fractional coordinates:
Eu 0.000 0.000 0.000
Lu 0.000 0.000 0.500
Ni 0.500 0.500 0.289

Properties
DOS(E_F)	8.40	states/eV/cell
total DFT energy (no corrections)	-6.8693	eV/atom
relative energy among the computed polymorphs	0	meV/atom
calculated formation energy	-280	meV per atom
total magnetic moment	7.13	μB/f.u.

=====

Crystalline EuLuNiPd at its relaxed geometry. Source: Alexandria via LeMat-Bulk, functional GGA-PBE.

abc: 6.928 6.928 6.928
angles: 90.00 90.00 90.00
Space group F-43m (No. 216)
Inequivalent atoms, fractional coordinates:
Eu 0.000 0.000 0.000
Lu 0.000 0.000 0.500
Ni 0.250 0.250 0.750
Pd 0.250 0.250 0.250

Properties
DOS(E_F)	37.59	states/eV/cell
total DFT energy (no corrections)	-6.9065	eV/atom
calculated formation energy	-464	meV per atom
total magnetic moment	7.02	μB/f.u.

=====

Crystalline EuLuNiRh at its relaxed geometry. Source: Alexandria via LeMat-Bulk, functional GGA-PBE.

abc: 6.831 6.831 6.831
angles: 90.00 90.00 90.00
Space group F-43m (No. 216)
Inequivalent atoms, fractional coordinates:
Eu 0.000 0.000 0.000
Lu 0.000 0.000 0.500
Ni 0.250 0.250 0.250
Rh 0.250 0.250 0.750

Properties
DOS(E_F)	48.01	states/eV/cell
total DFT energy (no corrections)	-7.3940	eV/atom
calculated formation energy	-412	meV per atom
total magnetic moment	6.71	μB/f.u.

=====

Crystalline EuLuZnNi at its relaxed geometry. Source: Alexandria via LeMat-Bulk, functional GGA-PBE.

abc: 6.989 6.989 6.989
angles: 90.00 90.00 90.00
Space group F-43m (No. 216)
Inequivalent atoms, fractional coordinates:
Eu 0.000 0.000 0.000
Lu 0.000 0.000 0.500
Zn 0.250 0.250 0.250
Ni 0.250 0.250 0.750

Properties
DOS(E_F)	24.38	states/eV/cell
total DFT energy (no corrections)	-5.6749	eV/atom
calculated formation energy	-212	meV per atom
total magnetic moment	6.91	μB/f.u.

=====

Crystalline EuLu2O at its relaxed geometry. Source: Alexandria via LeMat-Bulk, functional GGA-PBE.

abc: 3.4165 3.4165 27.8562
angles: 90.00 90.00 120.00
Space group R-3m (No. 166, hexagonal axes)
Inequivalent atoms, fractional coordinates:
Eu 0.0000 0.0000 0.0000
Lu 0.0000 0.0000 0.1203
O 0.0000 0.0000 0.5000

Properties
DOS(E_F)	9.82	states/eV/cell
total DFT energy (no corrections)	-7.2542	eV/atom
total magnetic moment	7.45	μB/f.u.

=====

Crystalline EuLuO3 at its relaxed geometry. Source: Alexandria via LeMat-Bulk, functional GGA-PBE.

abc: 4.235 4.235 4.235
angles: 90.00 90.00 90.00
Space group Pm-3m (No. 221)
Inequivalent atoms, fractional coordinates:
Eu 0.000 0.000 0.000
Lu 0.500 0.500 0.500
O 0.000 0.500 0.500

Properties
DOS(E_F)	9.08	states/eV/cell
total DFT energy (no corrections)	-8.7596	eV/atom
total magnetic moment	5.98	μB/f.u.

=====

Q: The lowest total magnetic moment belongs to which entry?
A: EuLuO3